Here is a geometry-optimized LiAlMo2 structure from Alexandria via LeMat-Bulk. Energies are from PBE-GGA.

## Properties
Total DFT energy (no corrections), eV/f.u.: -26.93
Space group: P4mm
N(E_F), states/eV/f.u.: 4.7
Magnetization, μB/f.u.: 0.00
Formation enthalpy at 0 K, eV per atom: 0.098

Lattice parameters (Å, degrees): 3.232 3.232 5.954 90.00 90.00 90.00
Element x y z (fractional)
Li: 0.000 0.000 0.000
Al: 0.500 0.500 0.767
Mo: 0.000 0.000 0.487
Mo: 0.500 0.500 0.279